Computed, not measured: TbThCuAg after structural relaxation at the PBE-GGA level of DFT.

a = 7.2663 Å, b = 7.2663 Å, c = 7.2663 Å
α = 90.00°, β = 90.00°, γ = 90.00°
Last column: nearest neighbours and their distance in Å.
Space group F-43m (No. 216)
Unique sites:
1 Tb 0.0000 0.0000 0.0000 (multiplicity 4)  4 Ag 3.15, 4 Cu 3.15
2 Th 0.0000 0.0000 0.5000 (multiplicity 4)  4 Cu 3.15, 4 Ag 3.15
3 Cu 0.2500 0.2500 0.7500 (multiplicity 4)  4 Tb 3.15, 4 Th 3.15
4 Ag 0.2500 0.2500 0.2500 (multiplicity 4)  4 Tb 3.15, 4 Th 3.15

Properties
The energy of formation is -0.10 eV/atom. The calculation puts the magnetization at 0.008 μB per atom. The total energy is -19.41 eV/f.u.

Computed, not measured: Tb2Zn3Cu12Ag after structural relaxation at the PBE-GGA level of DFT.

a = 6.3242 Å, b = 6.3242 Å, c = 26.3371 Å
α = 90.00°, β = 90.00°, γ = 120.00°
Last column: nearest neighbours and their distance in Å.
Space group R-3m (No. 166, hexagonal axes)
Unique sites:
1 Tb 0.0000 0.0000 0.1405 (multiplicity 6)  6 Cu 2.88-2.89
2 Zn 0.0000 0.5000 0.0000 (multiplicity 9)  6 Cu 2.38-2.66
3 Cu 0.0516 0.5258 0.8997 (multiplicity 18)  4 Cu 2.49-2.67, 1 Zn 2.66, 1 Ag 2.74
4 Cu 0.0806 0.5403 0.6225 (multiplicity 18)  2 Zn 2.38, 4 Cu 2.40-2.49
5 Ag 0.0000 0.0000 0.5000 (multiplicity 3)  6 Cu 2.74

Properties
The energy of formation is 0.13 eV/atom. The calculation puts the magnetization at 0.000 μB per atom. The total energy is -62.84 eV/f.u.

Computed, not measured: TbZn6CuAg after structural relaxation at the PBE-GGA level of DFT.

a = 6.9828 Å, b = 8.8683 Å, c = 10.6960 Å
α = 90.00°, β = 90.00°, γ = 90.00°
Last column: nearest neighbours and their distance in Å.
Space group Imma (No. 74)
Unique sites:
1 Tb 0.0000 0.2500 0.2044 (multiplicity 4)  10 Zn 2.95-3.28, 2 Cu 3.11
2 Zn 0.0000 0.2500 0.5112 (multiplicity 4)  8 Zn 2.88-2.96, 2 Ag 3.09
3 Zn 0.0000 0.2500 0.9283 (multiplicity 4)  2 Cu 2.35, 2 Ag 2.59
4 Zn 0.1925 0.0137 0.3754 (multiplicity 16)  1 Cu 2.53, 3 Zn 2.68-2.80, 1 Ag 2.73
5 Cu 0.0000 0.0000 0.0000 (multiplicity 4)  6 Zn 2.35-2.53
6 Ag 0.2500 0.2500 0.7500 (multiplicity 4)  6 Zn 2.59-2.73

Properties
The energy of formation is 0.02 eV/atom. The calculation puts the magnetization at 0.000 μB per atom. The total energy is -19.07 eV/f.u.

Computed, not measured: Tb2Zn12Cu3Ag after structural relaxation at the PBE-GGA level of DFT.

a = 9.2134 Å, b = 9.2134 Å, c = 12.5152 Å
α = 90.00°, β = 90.00°, γ = 120.00°
Last column: nearest neighbours and their distance in Å.
Space group R-3m (No. 166, hexagonal axes)
Unique sites:
1 Tb 0.0000 0.0000 0.2492 (multiplicity 6)  3 Cu 2.85, 9 Zn 3.12-3.18, 1 Ag 3.12
2 Zn 0.0086 0.5043 0.7034 (multiplicity 18)  5 Zn 2.53-2.75, 1 Cu 2.55, 1 Ag 2.63
3 Zn 0.0568 0.5284 0.0988 (multiplicity 18)  6 Zn 2.53-2.78
4 Cu 0.0000 0.5000 0.5000 (multiplicity 9)  2 Zn 2.55
5 Ag 0.0000 0.0000 0.0000 (multiplicity 3)  6 Zn 2.63

Properties
The energy of formation is -0.02 eV/atom. The calculation puts the magnetization at 0.000 μB per atom. The total energy is -40.01 eV/f.u.

Computed, not measured: TbZn5Cu2Ag after structural relaxation at the PBE-GGA level of DFT.

a = 4.6498 Å, b = 4.6498 Å, c = 7.1485 Å
α = 90.00°, β = 90.00°, γ = 90.00°
Last column: nearest neighbours and their distance in Å.
Space group P4/mmm (No. 123)
Unique sites:
1 Tb 0.0000 0.0000 0.0000 (multiplicity 1)  12 Zn 3.05-3.29
2 Zn 0.0000 0.5000 0.2762 (multiplicity 4)  2 Cu 2.37
3 Zn 0.5000 0.5000 0.0000 (multiplicity 1)  2 Cu 2.41
4 Cu 0.5000 0.5000 0.3369 (multiplicity 2)  1 Cu 2.33, 5 Zn 2.37-2.41
5 Ag 0.0000 0.0000 0.5000 (multiplicity 1)  8 Zn 2.82

Properties
The energy of formation is -0.03 eV/atom. The calculation puts the magnetization at 0.000 μB per atom. The total energy is -22.30 eV/f.u.

Computed, not measured: Cu2TcAg after structural relaxation at the PBE-GGA level of DFT.

a = 5.8098 Å, b = 7.5518 Å, c = 2.5854 Å
α = 90.00°, β = 90.00°, γ = 90.00°
Last column: nearest neighbours and their distance in Å.
Space group Cmmm (No. 65)
Unique sites:
1 Cu 0.2500 0.2500 0.0000 (multiplicity 4)  2 Cu 2.59, 4 Tc 2.71, 4 Ag 2.71
2 Tc 0.0000 0.0000 0.5000 (multiplicity 2)  2 Tc 2.59, 8 Cu 2.71
3 Ag 0.0000 0.5000 0.5000 (multiplicity 2)  2 Ag 2.59, 8 Cu 2.71

Properties
The energy of formation is 0.33 eV/atom. The calculation puts the magnetization at 0.136 μB per atom. The calculation puts the energy relative to the lowest polymorph listed for this composition at 112 meV/atom. The total energy is -20.09 eV/f.u.

Computed, not measured: Cu2TcAg after structural relaxation at the PBE-GGA level of DFT.

a = 6.8470 Å, b = 6.8470 Å, c = 5.3623 Å
α = 90.00°, β = 90.00°, γ = 90.00°
Last column: nearest neighbours and their distance in Å.
Space group I-42d (No. 122)
Unique sites:
1 Cu 0.2418 0.2500 0.1250 (multiplicity 8)  2 Tc 2.47, 2 Ag 2.55, 2 Cu 2.68
2 Tc 0.0000 0.0000 0.0000 (multiplicity 4)  4 Cu 2.47, 2 Ag 2.68
3 Ag 0.0000 0.0000 0.5000 (multiplicity 4)  4 Cu 2.55, 2 Tc 2.68

Properties
The energy of formation is 0.88 eV/atom. The calculation puts the magnetization at 0.444 μB per atom. The calculation puts the energy relative to the lowest polymorph listed for this composition at 665 meV/atom. The total energy is -17.87 eV/f.u.

Computed, not measured: Cu2Tc2Ag after structural relaxation at the PBE-GGA level of DFT.

a = 7.5672 Å, b = 7.5672 Å, c = 2.6623 Å
α = 90.00°, β = 90.00°, γ = 90.00°
Last column: nearest neighbours and their distance in Å.
Space group P4/mbm (No. 127)
Unique sites:
1 Cu 0.1833 0.3167 0.0000 (multiplicity 4)  6 Tc 2.59-2.64, 2 Cu 2.66, 2 Ag 2.77
2 Tc 0.1092 0.6092 0.5000 (multiplicity 4)  1 Tc 2.34, 2 Cu 2.59
3 Ag 0.0000 0.0000 0.0000 (multiplicity 2)  2 Ag 2.66, 4 Cu 2.77

Properties
The energy of formation is 0.49 eV/atom. The calculation puts the magnetization at 0.000 μB per atom. The total energy is -29.30 eV/f.u.